# La2PmNdSb4, optimized geometry, DFT PBE-GGA
data_La2PmNdSb4
_chemical_formula_sum 'La2 Pm1 Nd1 Sb4'
_space_group_name_H-M_alt 'P 1'
_space_group_IT_number 1
_cell_length_a 7.910
_cell_length_b 4.571
_cell_length_c 7.912
_cell_angle_alpha 90.00
_cell_angle_beta 109.47
_cell_angle_gamma 90.00
loop_
_space_group_symop_operation_xyz
'x,y,z'
loop_
_atom_site_label
_atom_site_fract_x
_atom_site_fract_y
_atom_site_fract_z
La1 0.000 0.000 0.000
La2 0.000 0.500 0.500
Pm1 0.500 0.000 0.500
Nd1 0.500 0.500 0.000
Sb1 0.255 0.000 0.751
Sb2 0.256 0.500 0.253
Sb3 0.744 0.500 0.747
Sb4 0.745 0.000 0.249
# Fermi-level density of states: 0.94 states/eV/cell
# symmetry: P2/m, No. 10
# formation energy without anion corrections: -1.232 eV per atom
# crystal system: monoclinic